[1]
Here is a geometry-optimized HfZr2RePb structure from the Alexandria database. Energies are from PBE.

abc: 5.2577 4.9623 5.2577
angles: 90.00 90.00 90.00
Closest atoms and distances in Å follow each position.
Positions (direct):
Pb: 0.0000 0.0000 0.0000  2 Re 2.48, 4 Zr 2.63
Re: 0.0000 0.5000 0.0000  2 Pb 2.48
Hf: 0.5000 0.5000 0.5000  8 Zr 3.61, 4 Re 3.72
Zr: 0.0000 0.0000 0.5000  2 Pb 2.63
Zr: 0.5000 0.0000 0.0000  2 Pb 2.63

Summary:
energy relative to the elements	8.4	eV/f.u.
density	9131	kg/m3
calculated total energy	-34.76	eV for the cell shown
spin magnetization	0.000	μB/cell

[2]
Here is a geometry-optimized Hf2ZrRePb structure from the Alexandria database. Energies are from PBE.

abc: 5.0383 5.3721 5.0383
angles: 90.00 90.00 90.00
Closest atoms and distances in Å follow each position.
Positions (direct):
Pb: 0.0000 0.5000 0.0000  2 Zr 2.69
Re: 0.5000 0.5000 0.5000  4 Pb 3.56, 8 Hf 3.68
Hf: 0.0000 0.0000 0.5000  2 Zr 2.52
Hf: 0.5000 0.0000 0.0000  2 Zr 2.52
Zr: 0.0000 0.0000 0.0000  4 Hf 2.52, 2 Pb 2.69

Summary:
energy relative to the elements	9.5	eV/f.u.
density	10248	kg/m3
calculated total energy	-35.13	eV for the cell shown
spin magnetization	3.073	μB/cell

[3]
Here is a geometry-optimized Hf2RhPb structure from the Alexandria database. Energies are from PBE.

abc: 3.1563 3.1563 8.2624
angles: 90.00 90.00 90.00
Closest atoms and distances in Å follow each position.
Positions (direct):
Pb: 0.5000 0.5000 0.5000  4 Pb 3.16, 8 Hf 3.28
Rh: 0.5000 0.5000 0.0000  8 Hf 2.83, 4 Rh 3.16
Hf: 0.0000 0.0000 0.7903  4 Rh 2.83, 4 Hf 3.16
Hf: 0.0000 0.0000 0.2097  4 Rh 2.83, 4 Hf 3.16

Summary:
energy relative to the elements	-1.3	eV/f.u.
density	13458	kg/m3
calculated total energy	-32.27	eV for the cell shown
spin magnetization	0.004	μB/cell

[4]
Here is a geometry-optimized Hf2RhPb structure from the Alexandria database. Energies are from PBE.

abc: 4.2299 4.2299 10.3601
angles: 78.22 78.22 90.00
Closest atoms and distances in Å follow each position.
Positions (direct):
Pb: 0.0000 0.0000 0.0000  4 Hf 2.90, 4 Rh 2.99
Pb: 0.7500 0.2500 0.5000  4 Hf 2.90, 4 Rh 2.99
Rh: 0.5000 0.5000 0.0000  4 Hf 2.89, 4 Pb 2.99
Rh: 0.2500 0.7500 0.5000  4 Hf 2.89, 4 Pb 2.99
Hf: 0.6233 0.1250 0.2500  2 Rh 2.89, 2 Pb 2.90, 4 Hf 2.98-3.00
Hf: 0.1267 0.6250 0.2500  2 Rh 2.89, 2 Pb 2.90, 4 Hf 2.98-3.00
Hf: 0.3750 0.3767 0.7500  2 Rh 2.89, 2 Pb 2.90, 4 Hf 2.98-3.00
Hf: 0.8750 0.8733 0.7500  2 Rh 2.89, 2 Pb 2.90, 4 Hf 2.98-3.00

Summary:
energy relative to the elements	1.1	eV/f.u.
density	12483	kg/m3
calculated total energy	-59.69	eV for the cell shown
spin magnetization	0.000	μB/cell

[5]
Here is a geometry-optimized Hf2RhPb structure from the Alexandria database. Energies are from PBE.

abc: 3.5437 3.5437 8.5560
angles: 78.05 78.05 60.00
Closest atoms and distances in Å follow each position.
Positions (direct):
Pb: 0.5000 0.5000 0.5000  6 Hf 3.24, 6 Pb 3.54
Rh: 0.0000 0.0000 0.0000  6 Hf 2.63
Hf: 0.2673 0.2673 0.1982  3 Rh 2.63
Hf: 0.7327 0.7327 0.8018  3 Rh 2.63

Summary:
energy relative to the elements	-1.0	eV/f.u.
density	12260	kg/m3
calculated total energy	-31.95	eV for the cell shown
spin magnetization	0.000	μB/cell

[6]
Here is a geometry-optimized Hf8RhPb2 structure from the Alexandria database. Energies are from PBE.

abc: 5.0075 5.8063 8.6288
angles: 92.18 106.87 90.00
Closest atoms and distances in Å follow each position.
Positions (direct):
Hf: 0.4158 0.4219 0.8316  1 Rh 2.86, 5 Hf 2.89-3.16, 2 Pb 3.09
Hf: 0.6527 0.1132 0.3054  1 Rh 2.58
Hf: 0.7697 0.6575 0.5394  4 Pb 3.02-3.24, 7 Hf 3.08-3.34
Hf: 0.0403 0.2648 0.0806  2 Rh 3.00, 7 Hf 3.09-3.30, 2 Pb 3.31-3.34
Hf: 0.2303 0.3425 0.4606  4 Pb 3.02-3.24, 7 Hf 3.08-3.34
Hf: 0.3473 0.8868 0.6946  1 Rh 2.58
Hf: 0.5842 0.5781 0.1684  1 Rh 2.86, 5 Hf 2.89-3.16, 2 Pb 3.09
Hf: 0.9597 0.7352 0.9194  2 Rh 3.00, 7 Hf 3.09-3.30, 2 Pb 3.31-3.34
Rh: 0.5000 0.0000 0.0000  4 Hf 2.58-2.86
Pb: 0.8405 0.1868 0.6809  11 Hf 3.02-3.34
Pb: 0.1595 0.8132 0.3191  11 Hf 3.02-3.34

Summary:
energy relative to the elements	-1.4	eV/f.u.
density	13464	kg/m3
calculated total energy	-95.83	eV for the cell shown
spin magnetization	0.000	μB/cell

[7]
Here is a geometry-optimized HfRhPb2 structure from the Alexandria database. Energies are from PBE.

abc: 4.9590 4.9590 4.9590
angles: 60.00 60.00 60.00
Closest atoms and distances in Å follow each position.
Positions (direct):
Pb: 0.2500 0.2500 0.2500  4 Hf 3.04, 4 Rh 3.04
Pb: 0.7500 0.7500 0.7500  4 Hf 3.04, 4 Rh 3.04
Rh: 0.0000 0.0000 0.0000  8 Pb 3.04
Hf: 0.5000 0.5000 0.5000  8 Pb 3.04

Summary:
energy relative to the elements	0.7	eV/f.u.
distance to the lowest polymorph of the same formula	0	meV/atom
density	13398	kg/m3
calculated total energy	-23.97	eV for the cell shown
spin magnetization	0.330	μB/cell

[8]
Here is a geometry-optimized HfRhPb2 structure from the Alexandria database. Energies are from PBE.

abc: 4.2978 4.2978 10.6858
angles: 78.40 78.40 90.00
Closest atoms and distances in Å follow each position.
Positions (direct):
Pb: 0.6158 0.1250 0.2500  2 Rh 2.96, 4 Pb 2.98-3.10, 2 Hf 2.99
Pb: 0.1342 0.6250 0.2500  2 Rh 2.96, 4 Pb 2.98-3.10, 2 Hf 2.99
Pb: 0.3750 0.3842 0.7500  2 Rh 2.96, 4 Pb 2.98-3.10, 2 Hf 2.99
Pb: 0.8750 0.8658 0.7500  2 Rh 2.96, 4 Pb 2.98-3.10, 2 Hf 2.99
Rh: 0.5000 0.5000 0.0000  4 Pb 2.96, 4 Hf 3.04
Rh: 0.2500 0.7500 0.5000  4 Pb 2.96, 4 Hf 3.04
Hf: 0.0000 0.0000 0.0000  4 Pb 2.99, 4 Rh 3.04
Hf: 0.7500 0.2500 0.5000  4 Pb 2.99, 4 Rh 3.04

Summary:
energy relative to the elements	1.0	eV/f.u.
distance to the lowest polymorph of the same formula	66	meV/atom
density	12212	kg/m3
calculated total energy	-47.42	eV for the cell shown
spin magnetization	0.000	μB/cell

[9]
Here is a geometry-optimized HfRuRhPb2 structure from the Alexandria database. Energies are from PBE.

abc: 5.5551 4.6362 5.5551
angles: 90.00 90.00 90.00
Closest atoms and distances in Å follow each position.
Positions (direct):
Pb: 0.0000 0.0000 0.5000  2 Hf 2.78
Pb: 0.5000 0.0000 0.0000  2 Hf 2.78
Rh: 0.5000 0.5000 0.5000  8 Pb 3.62, 4 Ru 3.93
Hf: 0.0000 0.0000 0.0000  2 Ru 2.32
Ru: 0.0000 0.5000 0.0000  2 Hf 2.32

Summary:
energy relative to the elements	6.6	eV/f.u.
density	9249	kg/m3
calculated total energy	-27.43	eV for the cell shown
spin magnetization	0.993	μB/cell

[10]
Here is a geometry-optimized HfSiRhPb2 structure from the Alexandria database. Energies are from PBE.

abc: 5.5178 4.9890 5.5178
angles: 90.00 90.00 90.00
Closest atoms and distances in Å follow each position.
Positions (direct):
Pb: 0.0000 0.0000 0.5000  2 Hf 2.76
Pb: 0.5000 0.0000 0.0000  2 Hf 2.76
Rh: 0.5000 0.5000 0.5000  8 Pb 3.72, 4 Si 3.90
Si: 0.0000 0.5000 0.0000  2 Hf 2.49
Hf: 0.0000 0.0000 0.0000  2 Si 2.49, 4 Pb 2.76

Summary:
density	7913	kg/m3
calculated total energy	-24.53	eV for the cell shown
spin magnetization	0.007	μB/cell

[11]
Here is a geometry-optimized HfRh2PbW structure from the Alexandria database. Energies are from PBE.

abc: 4.7814 5.2392 4.7814
angles: 90.00 90.00 90.00
Closest atoms and distances in Å follow each position.
Positions (direct):
Pb: 0.0000 0.0000 0.0000  4 Rh 2.39, 2 Hf 2.62
Rh: 0.0000 0.0000 0.5000  2 Pb 2.39
Rh: 0.5000 0.0000 0.0000  2 Pb 2.39
Hf: 0.0000 0.5000 0.0000  2 Pb 2.62
W: 0.5000 0.5000 0.5000  4 Hf 3.38, 8 Rh 3.55

Summary:
energy relative to the elements	10.2	eV/f.u.
density	10749	kg/m3
calculated total energy	-31.10	eV for the cell shown
spin magnetization	0.001	μB/cell

[12]
Here is a geometry-optimized HfRu2Pb structure from the Alexandria database. Energies are from PBE.

abc: 7.2128 7.2128 5.9323
angles: 52.56 52.56 90.00
Closest atoms and distances in Å follow each position.
Positions (direct):
Pb: 0.0000 0.0000 0.0000  4 Ru 2.77, 2 Hf 3.03
Pb: 0.7500 0.2500 0.5000  4 Ru 2.77, 2 Hf 3.03
Ru: 0.6023 0.1250 0.2500  2 Hf 2.55, 2 Pb 2.77
Ru: 0.1477 0.6250 0.2500  2 Hf 2.55, 2 Pb 2.77
Ru: 0.3750 0.3977 0.7500  2 Hf 2.55, 2 Pb 2.77
Ru: 0.8750 0.8523 0.7500  2 Hf 2.55, 2 Pb 2.77
Hf: 0.5000 0.5000 0.0000  4 Ru 2.55
Hf: 0.2500 0.7500 0.5000  4 Ru 2.55

Summary:
energy relative to the elements	2.0	eV/f.u.
density	12385	kg/m3
calculated total energy	-60.42	eV for the cell shown
spin magnetization	0.000	μB/cell

[13]
Here is a geometry-optimized HfRu2Pb structure from the Alexandria database. Energies are from PBE.

abc: 3.3899 4.5348 4.5348
angles: 90.00 90.00 90.00
Closest atoms and distances in Å follow each position.
Positions (direct):
Pb: 0.5000 0.0000 0.0000  8 Ru 2.83
Ru: 0.0000 0.0000 0.5000  4 Hf 2.83, 4 Pb 2.83
Ru: 0.0000 0.5000 0.0000  4 Hf 2.83, 4 Pb 2.83
Hf: 0.5000 0.5000 0.5000  8 Ru 2.83

Summary:
energy relative to the elements	-0.9	eV/f.u.
density	14002	kg/m3
calculated total energy	-33.11	eV for the cell shown
spin magnetization	0.000	μB/cell

[14]
Here is a geometry-optimized HfRu2Pb structure from the Alexandria database. Energies are from PBE.

abc: 3.3042 3.3042 6.5006
angles: 90.00 90.00 90.00
Closest atoms and distances in Å follow each position.
Positions (direct):
Pb: 0.5000 0.5000 0.5000  8 Ru 2.89
Ru: 0.0000 0.0000 0.7616  4 Hf 2.80, 4 Pb 2.89, 1 Ru 3.10
Ru: 0.0000 0.0000 0.2384  4 Hf 2.80, 4 Pb 2.89, 1 Ru 3.10
Hf: 0.5000 0.5000 0.0000  8 Ru 2.80

Summary:
energy relative to the elements	-0.8	eV/f.u.
density	13754	kg/m3
calculated total energy	-33.06	eV for the cell shown
spin magnetization	0.000	μB/cell

[15]
Here is a geometry-optimized Hf2RuPb structure from the Alexandria database. Energies are from PBE.

abc: 3.1700 3.1700 8.2552
angles: 90.00 90.00 90.00
Closest atoms and distances in Å follow each position.
Positions (direct):
Pb: 0.5000 0.5000 0.5000  4 Pb 3.17, 8 Hf 3.33
Ru: 0.5000 0.5000 0.0000  8 Hf 2.79
Hf: 0.0000 0.0000 0.7983  4 Ru 2.79
Hf: 0.0000 0.0000 0.2017  4 Ru 2.79

Summary:
energy relative to the elements	-1.2	eV/f.u.
distance to the lowest polymorph of the same formula	0	meV/atom
density	13317	kg/m3
calculated total energy	-34.07	eV for the cell shown
spin magnetization	0.000	μB/cell

[16]
Here is a geometry-optimized HfRuPb3 structure from the Alexandria database. Energies are from PBE.

abc: 5.2194 5.2194 5.2194
angles: 90.00 90.00 90.00
Closest atoms and distances in Å follow each position.
Positions (direct):
Pb: 0.0000 0.5000 0.0000  2 Ru 2.61
Pb: 0.0000 0.0000 0.5000  2 Ru 2.61
Pb: 0.5000 0.0000 0.0000  2 Ru 2.61
Ru: 0.0000 0.0000 0.0000  6 Pb 2.61
Hf: 0.5000 0.5000 0.5000  12 Pb 3.69

Summary:
energy relative to the elements	4.1	eV/f.u.
distance to the lowest polymorph of the same formula	0	meV/atom
density	10524	kg/m3
calculated total energy	-26.28	eV for the cell shown
spin magnetization	0.000	μB/cell

[17]
Here is a geometry-optimized HfRu3Pb structure from the Alexandria database. Energies are from PBE.

abc: 4.8331 4.8331 4.8331
angles: 90.00 90.00 90.00
Closest atoms and distances in Å follow each position.
Positions (direct):
Pb: 0.0000 0.0000 0.0000  6 Ru 2.42
Ru: 0.0000 0.5000 0.0000  2 Pb 2.42
Ru: 0.0000 0.0000 0.5000  2 Pb 2.42
Ru: 0.5000 0.0000 0.0000  2 Pb 2.42
Hf: 0.5000 0.5000 0.5000  12 Ru 3.42

Summary:
energy relative to the elements	8.7	eV/f.u.
distance to the lowest polymorph of the same formula	436	meV/atom
density	10133	kg/m3
calculated total energy	-32.80	eV for the cell shown
spin magnetization	0.005	μB/cell

[18]
Here is a geometry-optimized Hf2RuPb structure from the Alexandria database. Energies are from PBE.

abc: 4.8551 4.8551 4.8551
angles: 60.00 60.00 60.00
Closest atoms and distances in Å follow each position.
Positions (direct):
Pb: 0.5000 0.5000 0.5000  8 Hf 2.97
Ru: 0.0000 0.0000 0.0000  8 Hf 2.97
Hf: 0.2500 0.2500 0.2500  4 Pb 2.97, 4 Ru 2.97
Hf: 0.7500 0.7500 0.7500  4 Pb 2.97, 4 Ru 2.97

Summary:
energy relative to the elements	0.0	eV/f.u.
distance to the lowest polymorph of the same formula	298	meV/atom
density	13651	kg/m3
calculated total energy	-32.88	eV for the cell shown
spin magnetization	0.000	μB/cell

[19]
Here is a geometry-optimized HfRuPb structure from the Alexandria database. Energies are from PBE.

abc: 3.2833 6.0735 7.1216
angles: 109.63 103.24 90.24
Closest atoms and distances in Å follow each position.
Positions (direct):
Pb: 0.5723 0.2946 0.1365  3 Ru 2.88-2.94
Pb: 0.4352 0.7009 0.8668  3 Ru 2.88-2.94
Ru: 0.2435 0.2994 0.4794  3 Hf 2.60-2.63, 2 Ru 2.83-2.85, 2 Pb 2.88
Ru: 0.7644 0.6961 0.5239  3 Hf 2.60-2.63, 2 Ru 2.83-2.85, 2 Pb 2.88
Hf: 0.8531 0.1503 0.7034  3 Ru 2.60-2.63
Hf: 0.1547 0.8452 0.2998  3 Ru 2.60-2.63

Summary:
energy relative to the elements	-0.3	eV/f.u.
density	12465	kg/m3
calculated total energy	-46.44	eV for the cell shown
spin magnetization	0.000	μB/cell

[20]
Here is a geometry-optimized HfRuPb2 structure from the Alexandria database. Energies are from PBE.

abc: 4.2355 4.2355 10.8259
angles: 78.72 78.72 90.00
Closest atoms and distances in Å follow each position.
Positions (direct):
Pb: 0.6177 0.1250 0.2500  4 Pb 2.95-3.04, 2 Ru 2.99, 2 Hf 3.01
Pb: 0.1323 0.6250 0.2500  4 Pb 2.95-3.04, 2 Ru 2.99, 2 Hf 3.01
Pb: 0.3750 0.3823 0.7500  4 Pb 2.95-3.04, 2 Ru 2.99, 2 Hf 3.01
Pb: 0.8750 0.8677 0.7500  4 Pb 2.95-3.04, 2 Ru 2.99, 2 Hf 3.01
Ru: 0.5000 0.5000 0.0000  4 Pb 2.99, 4 Hf 2.99
Ru: 0.2500 0.7500 0.5000  4 Pb 2.99, 4 Hf 2.99
Hf: 0.0000 0.0000 0.0000  4 Ru 2.99, 4 Pb 3.01
Hf: 0.7500 0.2500 0.5000  4 Ru 2.99, 4 Pb 3.01

Summary:
energy relative to the elements	1.9	eV/f.u.
distance to the lowest polymorph of the same formula	106	meV/atom
density	12349	kg/m3
calculated total energy	-49.41	eV for the cell shown
spin magnetization	0.000	μB/cell